[1]
# Sm16Y6Ho7

A relaxed structure of Sm16Y6Ho7 (GGA-PBE, Alexandria).

**Formation energy from the elements**: 20 kJ/mol of atoms
**SG**: Fm-3m, No. 225

Unit cell a=11.2224 b=11.2224 c=11.2224 alpha=60.00 beta=60.00 gamma=60.00
Atoms (fractional coordinates):
Sm 0.0452 0.6516 0.6516
Sm 0.1234 0.1234 0.1234
Sm 0.1234 0.1234 0.6298
Sm 0.1234 0.6298 0.1234
Sm 0.3484 0.3484 0.3484
Sm 0.3484 0.3484 0.9548
Sm 0.3484 0.9548 0.3484
Sm 0.3702 0.8766 0.8766
Sm 0.6298 0.1234 0.1234
Sm 0.6516 0.0452 0.6516
Sm 0.6516 0.6516 0.0452
Sm 0.6516 0.6516 0.6516
Sm 0.8766 0.3702 0.8766
Sm 0.8766 0.8766 0.3702
Sm 0.8766 0.8766 0.8766
Sm 0.9548 0.3484 0.3484
Y 0.2751 0.2751 0.7249
Y 0.2751 0.7249 0.2751
Y 0.2751 0.7249 0.7249
Y 0.7249 0.2751 0.2751
Y 0.7249 0.2751 0.7249
Y 0.7249 0.7249 0.2751
Ho 0.0000 0.0000 0.0000
Ho 0.0000 0.0000 0.5000
Ho 0.0000 0.5000 0.0000
Ho 0.0000 0.5000 0.5000
Ho 0.5000 0.0000 0.0000
Ho 0.5000 0.0000 0.5000
Ho 0.5000 0.5000 0.0000

---

[2]
# CaCe2Tl4

A relaxed structure of CaCe2Tl4 (GGA-PBE, Alexandria).

**Formation energy from the elements**: 4 kJ/mol of atoms
**SG**: Cmmm, No. 65

Unit cell a=7.0212 b=7.0212 c=5.7104 alpha=90.00 beta=90.00 gamma=124.75
Atoms (fractional coordinates):
Ca 0.0000 0.0000 0.0000
Ce 0.3862 0.6138 0.5000
Ce 0.6138 0.3862 0.5000
Tl 0.1252 0.8748 0.5000
Tl 0.2676 0.7324 0.0000
Tl 0.7324 0.2676 0.0000
Tl 0.8748 0.1252 0.5000

---

[3]
# CaEr2Mn

A relaxed structure of CaEr2Mn (GGA-PBE, Alexandria).

**Formation energy from the elements**: 12 kJ/mol of atoms
**SG**: P4/mmm, No. 123

Unit cell a=3.4847 b=3.4847 c=9.3139 alpha=90.00 beta=90.00 gamma=90.00
Atoms (fractional coordinates):
Ca 0.0000 0.0000 0.0000
Er 0.5000 0.5000 0.3197
Er 0.5000 0.5000 0.6803
Mn 0.0000 0.0000 0.5000

---

[4]
# Zr2TaTc

A relaxed structure of Zr2TaTc (GGA-PBE, Alexandria).

**Formation energy from the elements**: -2 kJ/mol of atoms
**SG**: Pmmm, No. 47

Unit cell a=3.3454 b=4.7383 c=4.7623 alpha=90.00 beta=90.00 gamma=90.00
Atoms (fractional coordinates):
Zr 0.0000 0.0000 0.0000
Zr 0.5000 0.0000 0.5000
Ta 0.0000 0.5000 0.5000
Tc 0.5000 0.5000 0.0000

---

[5]
# AcPdPt2

A relaxed structure of AcPdPt2 (GGA-PBE, Alexandria).

**Formation energy from the elements**: -72 kJ/mol of atoms
**SG**: P4/mmm, No. 123

Unit cell a=4.2677 b=4.2677 c=4.4154 alpha=90.00 beta=90.00 gamma=90.00
Atoms (fractional coordinates):
Ac 0.0000 0.0000 0.0000
Pd 0.5000 0.5000 0.0000
Pt 0.0000 0.5000 0.5000
Pt 0.5000 0.0000 0.5000

---

[6]
# SrLiCd2Pt

A relaxed structure of SrLiCd2Pt (GGA-PBE, Alexandria).

**Formation energy from the elements**: -31 kJ/mol of atoms
**SG**: P4/mmm, No. 123

Unit cell a=5.2781 b=5.2781 c=4.8032 alpha=90.00 beta=90.00 gamma=90.00
Atoms (fractional coordinates):
Sr 0.0000 0.0000 0.0000
Li 0.5000 0.5000 0.0000
Cd 0.0000 0.5000 0.5000
Cd 0.5000 0.0000 0.5000
Pt 0.5000 0.5000 0.5000